Record 1
Material: ZrBePd
Method: DFT, SCAN
State: single point on PBEsol structure Values from VASP.

```
&SYSTEM
  ibrav = 0, nat = 6, ntyp = 3
/
ATOMIC_SPECIES
Zr 91.22 Zr.upf
Be 9.01 Be.upf
Pd 106.42 Pd.upf
CELL_PARAMETERS angstrom
1.695 -4.887 0.000
1.695 4.887 0.000
0.000 0.000 5.326
ATOMIC_POSITIONS angstrom
Zr 1.695 2.926 3.995
Zr 1.695 -2.926 1.332
Be 1.695 3.970 1.332
Be 1.695 -3.970 3.995
Pd 1.695 0.000 0.000
Pd 1.695 0.000 2.663
```

formation enthalpy at 0 K = -0.644 eV per atom
crystal system = orthorhombic
space group = No. 63

Record 2
Material: MoH3Pb
Method: DFT, SCAN
State: single point on PBEsol structure Values from VASP.

```
&SYSTEM
  ibrav = 0, nat = 5, ntyp = 3
/
ATOMIC_SPECIES
Mo 95.94 Mo.upf
H 1.01 H.upf
Pb 207.20 Pb.upf
CELL_PARAMETERS angstrom
3.711 0.000 0.000
0.000 3.711 0.000
0.000 0.000 3.711
ATOMIC_POSITIONS angstrom
Mo 0.000 0.000 0.000
H 0.000 0.000 1.856
H 0.000 1.856 0.000
H 1.856 0.000 0.000
Pb 1.856 1.856 1.856
```

crystal system = cubic
space group = No. 221

Record 3
Material: Pr9Ga5S21
Method: DFT, SCAN
State: single point on PBEsol structure Values from VASP.

```
&SYSTEM
  ibrav = 0, nat = 70, ntyp = 3
/
ATOMIC_SPECIES
Pr 140.91 Pr.upf
Ga 69.72 Ga.upf
S 32.06 S.upf
CELL_PARAMETERS angstrom
8.598 4.964 6.044
-8.598 4.964 6.044
0.000 -9.928 6.044
ATOMIC_POSITIONS angstrom
Pr -6.754 -2.322 8.788
Pr -1.312 -6.941 6.044
Pr -1.950 -2.589 5.812
Pr -7.377 1.972 8.935
Pr -5.355 4.607 6.044
Pr -3.251 0.387 9.020
Pr -1.268 2.983 5.812
Pr 1.981 -7.374 8.935
Pr -1.937 -2.596 11.865
Pr 1.290 -3.009 9.020
Pr 3.217 -0.394 5.812
Pr 5.388 -4.688 8.788
Pr -1.279 2.975 11.865
Pr 1.961 2.622 9.020
Pr 6.667 2.334 6.044
Pr 1.366 7.011 8.788
Pr 3.216 -0.379 11.865
Pr 5.396 5.403 8.935
Ga 0.000 0.000 1.778
Ga -2.955 -4.914 8.429
Ga -5.786 -0.053 11.453
Ga 0.000 0.000 7.232
Ga -2.778 5.016 8.429
Ga 0.000 0.000 10.799
Ga 2.939 -4.984 11.453
Ga 5.733 -0.102 8.429
Ga 0.000 0.000 16.348
Ga 2.847 5.038 11.453
S -7.784 3.155 6.307
S -4.910 1.993 4.548
S -1.306 -1.712 3.025
S -4.186 -3.263 7.481
S -5.734 0.047 7.642
S 0.729 -5.249 4.548
S 1.160 -8.319 6.307
S -0.829 1.987 3.025
S -0.872 -4.609 7.568
S -2.099 0.228 6.312
S -2.896 -4.958 10.661
S -4.574 -1.735 10.521
S 2.136 -0.275 3.025
S -3.555 3.060 7.568
S 0.852 -1.932 6.312
S -5.021 1.919 10.577
S -1.175 -1.594 9.253
S -4.039 -3.199 13.622
S 2.826 -4.990 7.642
S 0.849 -5.308 10.577
S 1.247 1.704 6.312
S -0.793 1.815 9.253
S -0.733 5.257 7.481
S -2.122 0.245 12.038
S -2.845 4.987 10.661
S 4.181 3.256 4.548
S 1.968 -0.221 9.253
S 4.919 -1.993 7.481
S 0.849 -1.960 12.038
S 3.789 -3.094 10.521
S -1.186 -1.737 15.425
S 4.428 1.549 7.568
S 2.908 4.942 7.642
S 0.785 4.829 10.521
S 1.273 1.716 12.038
S -0.911 1.895 15.425
S -0.751 5.097 13.622
S 6.624 5.164 6.307
S 5.741 -0.029 10.661
S 4.172 3.389 10.577
S 4.789 -1.898 13.622
S 2.097 -0.159 15.425
```

crystal system = trigonal
ΔE_f (raw) = -1.814 eV/atom
space group = No. 146

Record 4
Material: SrGaFeNi2
Method: DFT, SCAN
State: single point on PBEsol structure Values from VASP.

```
&SYSTEM
  ibrav = 0, nat = 5, ntyp = 4
/
ATOMIC_SPECIES
Sr 87.62 Sr.upf
Ga 69.72 Ga.upf
Fe 55.84 Fe.upf
Ni 58.69 Ni.upf
CELL_PARAMETERS angstrom
4.480 0.000 0.000
0.000 4.480 0.000
0.000 0.000 4.514
ATOMIC_POSITIONS angstrom
Sr 0.000 0.000 0.000
Ga 2.240 2.240 2.257
Fe 2.240 2.240 0.000
Ni 0.000 2.240 2.257
Ni 2.240 0.000 2.257
```

formation enthalpy at 0 K = 0.361 eV per atom
crystal system = tetragonal
space group = No. 123

Record 5
Material: Co2MoOs
Method: DFT, SCAN
State: single point on PBEsol structure Values from VASP.

```
&SYSTEM
  ibrav = 0, nat = 4, ntyp = 3
/
ATOMIC_SPECIES
Co 58.93 Co.upf
Mo 95.94 Mo.upf
Os 190.23 Os.upf
CELL_PARAMETERS angstrom
3.648 0.000 0.000
0.000 3.648 0.000
0.000 0.000 3.673
ATOMIC_POSITIONS angstrom
Co 0.000 1.824 0.000
Co 1.824 0.000 0.000
Mo 0.000 0.000 1.837
Os 1.824 1.824 1.837
```

formation enthalpy at 0 K = 0.132 eV per atom
crystal system = tetragonal
offset from the most stable computed form = 22 meV/atom
space group = No. 123

Record 6
Material: Rb8HfMo6O24
Method: DFT, SCAN
State: single point on PBEsol structure Values from VASP.

```
&SYSTEM
  ibrav = 0, nat = 39, ntyp = 4
/
ATOMIC_SPECIES
Rb 85.47 Rb.upf
Hf 178.49 Hf.upf
Mo 95.94 Mo.upf
O 16.00 O.upf
CELL_PARAMETERS angstrom
4.949 -9.432 0.000
4.949 9.432 0.000
-2.349 0.000 7.550
ATOMIC_POSITIONS angstrom
Rb 0.461 3.312 4.609
Rb 4.949 6.400 0.000
Rb 0.876 0.000 6.373
Rb 0.461 -3.312 4.609
Rb 7.089 3.312 2.940
Rb 6.674 0.000 1.177
Rb 4.949 -6.400 0.000
Rb 7.089 -3.312 2.940
Hf 3.775 0.000 3.775
Mo 0.409 0.000 2.215
Mo 3.449 2.936 1.552
Mo 4.101 2.936 5.997
Mo 3.449 -2.936 1.552
Mo 4.101 -2.936 5.997
Mo 7.141 0.000 5.334
O 3.231 8.023 5.226
O 4.319 8.023 2.324
O 1.865 3.228 2.205
O 1.245 0.000 0.695
O 0.947 2.744 7.366
O 3.155 4.345 5.575
O 4.395 4.345 1.975
O 1.706 0.000 3.523
O 4.139 1.420 2.324
O 1.865 -3.228 2.205
O 3.411 1.420 5.226
O 0.947 -2.744 7.366
O 6.603 2.744 0.184
O 4.139 -1.420 2.324
O 5.685 3.228 5.345
O 3.411 -1.420 5.226
O 5.844 0.000 4.027
O 3.155 -4.345 5.575
O 4.395 -4.345 1.975
O 6.603 -2.744 0.184
O 6.305 0.000 6.855
O 5.685 -3.228 5.345
O 3.231 -8.023 5.226
O 4.319 -8.023 2.324
```

crystal system = monoclinic
ΔE_f (raw) = -2.401 eV/atom
space group = No. 12

What total energy values result from the calculations? In sequence: -23.25 -23.78 -21.07 -17.46 -35.21 -17.46 eV per atom.